[1]
First-principles (PBEsol) data for a geometry-optimized MgCu4Rh structure, as listed in the Alexandria database.

Energy of formation: -68 meV per atom
SG: F-43m, No. 216

Cell: 4.752 4.752 4.752 Å, 60.00 60.00 60.00°
Positions (direct):
Mg: 0.000 0.000 0.000
Cu: 0.375 0.375 0.375
Cu: 0.375 0.375 0.874
Cu: 0.375 0.874 0.375
Cu: 0.874 0.375 0.375
Rh: 0.750 0.750 0.750

---

[2]
First-principles (PBEsol) data for a geometry-optimized MgCuRh2 structure, as listed in the Alexandria database.

Energy of formation: -112 meV per atom
SG: Cm, No. 8

Cell: 4.679 4.679 4.501 Å, 101.37 101.37 34.59°
Positions (direct):
Mg: 0.000 0.000 0.000
Cu: 0.755 0.755 0.228
Rh: 0.243 0.243 0.709
Rh: 0.500 0.500 0.499

---

[3]
First-principles (PBEsol) data for a geometry-optimized MgCu2Rh structure, as listed in the Alexandria database.

Energy of formation: -104 meV per atom
SG: I4/mmm, No. 139

Cell: 4.449 4.449 4.449 Å, 128.33 128.33 76.09°
Positions (direct):
Mg: 0.000 0.000 0.000
Cu: 0.250 0.750 0.500
Cu: 0.750 0.250 0.500
Rh: 0.500 0.500 0.000

---

[4]
First-principles (PBEsol) data for a geometry-optimized Mg2CuRu structure, as listed in the Alexandria database.

Energy of formation: 108 meV per atom
SG: Imm2, No. 44

Cell: 5.278 5.278 5.278 Å, 146.87 130.78 60.62°
Positions (direct):
Mg: 0.000 0.000 0.000
Mg: 0.723 0.223 0.500
Cu: 0.479 0.479 0.000
Ru: 0.256 0.756 0.500

---

[5]
First-principles (PBEsol) data for a geometry-optimized MgCuRu2 structure, as listed in the Alexandria database.

Energy of formation: 192 meV per atom
SG: I-4m2, No. 119

Cell: 4.411 4.411 4.411 Å, 126.26 126.26 79.47°
Positions (direct):
Mg: 0.000 0.000 0.000
Cu: 0.250 0.750 0.500
Ru: 0.500 0.500 0.000
Ru: 0.750 0.250 0.500

---

[6]
First-principles (PBEsol) data for a geometry-optimized Mg2CuRu structure, as listed in the Alexandria database.

Energy of formation: 132 meV per atom
SG: I-4m2, No. 119

Cell: 4.862 4.862 4.862 Å, 133.64 133.64 67.65°
Positions (direct):
Mg: 0.000 0.000 0.000
Mg: 0.750 0.250 0.500
Cu: 0.250 0.750 0.500
Ru: 0.500 0.500 0.000

---

- Which formula does entry 2 have?
  MgCuRh2